Model A:
First-principles (GGA-PBE) data for a relaxed structure of MgCdTeO, as listed in OQMD via LeMat-Bulk.

Output
Calculated density in Mg/m³: 5.573
V in Å³ per cell: 167

a b c (Å): 7.046 7.046 6.177
angles (deg): 90.00 90.00 146.99
Atoms (fractional coordinates):
O  0.928  0.072  0.538
O  0.072  0.928  0.038
Te  0.336  0.664  0.021
Te  0.664  0.336  0.521
Mg  0.962  0.038  0.841
Mg  0.038  0.962  0.341
Cd  0.336  0.664  0.494
Cd  0.664  0.336  0.994

---

Model B:
First-principles (GGA-PBE) data for a relaxed structure of MgCdTeO, as listed in OQMD via LeMat-Bulk.

Output
Calculated density in Mg/m³: 5.853
V in Å³ per cell: 318

a b c (Å): 6.203 8.398 6.107
angles (deg): 90.00 90.00 90.00
Atoms (fractional coordinates):
Mg  0.555  0.323  0.625
Mg  0.055  0.677  0.625
Mg  0.445  0.677  0.125
Mg  0.945  0.323  0.125
Cd  0.750  0.956  0.375
Cd  0.250  0.044  0.875
Cd  0.750  0.956  0.875
Cd  0.250  0.044  0.375
O  0.029  0.910  0.625
O  0.971  0.090  0.125
O  0.471  0.910  0.125
O  0.529  0.090  0.625
Te  0.478  0.336  0.124
Te  0.522  0.664  0.624
Te  0.978  0.664  0.124
Te  0.022  0.336  0.624

---

Stability check: which of them is least stable? model B.

---

Model A:
First-principles (GGA-PBE) data for a relaxed structure of NaCuPdSe3, as listed in OQMD via LeMat-Bulk.

Output
Calculated density in Mg/m³: 5.805
V in Å³ per cell: 246

a b c (Å): 6.592 6.592 10.186
angles (deg): 90.00 90.00 146.25
Atoms (fractional coordinates):
Cu  0.050  0.950  0.750
Cu  0.950  0.050  0.250
Pd  0.500  0.500  0.500
Pd  0.500  0.500  0.000
Se  0.434  0.566  0.750
Se  0.133  0.867  0.537
Se  0.133  0.867  0.963
Se  0.867  0.133  0.463
Se  0.566  0.434  0.250
Se  0.867  0.133  0.037
Na  0.253  0.747  0.250
Na  0.747  0.253  0.750

---

Model B:
First-principles (GGA-PBE) data for a relaxed structure of NaCuPdSe3, as listed in OQMD via LeMat-Bulk.

Output
Calculated density in Mg/m³: 5.758
V in Å³ per cell: 496

a b c (Å): 8.382 3.971 14.898
angles (deg): 90.00 90.00 90.00
Atoms (fractional coordinates):
Se  0.158  0.250  0.489
Se  0.342  0.750  0.989
Se  0.465  0.750  0.593
Se  0.658  0.250  0.011
Se  0.965  0.750  0.907
Se  0.302  0.250  0.786
Se  0.535  0.250  0.407
Se  0.698  0.750  0.214
Se  0.802  0.250  0.714
Se  0.842  0.750  0.511
Se  0.198  0.750  0.286
Se  0.035  0.250  0.093
Cu  0.776  0.250  0.868
Cu  0.224  0.750  0.132
Cu  0.276  0.250  0.632
Cu  0.724  0.750  0.368
Pd  0.662  0.250  0.561
Pd  0.838  0.750  0.061
Pd  0.162  0.250  0.939
Pd  0.338  0.750  0.439
Na  0.050  0.750  0.706
Na  0.450  0.250  0.206
Na  0.550  0.750  0.794
Na  0.950  0.250  0.294

---

Stability check: which of them is least stable? model B.

---

Model A:
First-principles (GGA-PBE) data for a relaxed structure of AgSbPb, as listed in OQMD via LeMat-Bulk.

Output
Calculated density in Mg/m³: 8.026
V in Å³ per cell: 90

a b c (Å): 5.037 5.037 5.037
angles (deg): 60.00 60.00 60.00
Atoms (fractional coordinates):
Pb  0.000  0.000  0.000
Sb  0.250  0.250  0.250
Ag  0.500  0.500  0.500

---

Model B:
First-principles (GGA-PBE) data for a relaxed structure of AgSbPb, as listed in OQMD via LeMat-Bulk.

Output
Calculated density in Mg/m³: 9.377
V in Å³ per cell: 309

a b c (Å): 6.685 4.350 10.640
angles (deg): 90.00 90.00 90.00
Atoms (fractional coordinates):
Sb  0.125  0.250  0.125
Sb  0.875  0.750  0.875
Sb  0.375  0.750  0.625
Sb  0.625  0.250  0.375
Pb  0.338  0.750  0.925
Pb  0.162  0.250  0.425
Pb  0.838  0.750  0.575
Pb  0.662  0.250  0.075
Ag  0.381  0.750  0.241
Ag  0.619  0.250  0.759
Ag  0.119  0.250  0.741
Ag  0.881  0.750  0.259

---

Stability check: which of them is least stable? model A.

---

Model A:
First-principles (GGA-PBE) data for a relaxed structure of Cu5Ag4, as listed in OQMD via LeMat-Bulk.

Output
Calculated density in Mg/m³: 9.540
V in Å³ per cell: 130

a b c (Å): 7.191 7.191 6.665
angles (deg): 91.33 91.33 22.24
Atoms (fractional coordinates):
Ag  0.213  0.213  0.325
Ag  0.456  0.456  0.684
Ag  0.328  0.328  0.985
Ag  0.892  0.892  0.337
Cu  0.119  0.119  0.671
Cu  0.771  0.771  0.659
Cu  0.657  0.657  0.982
Cu  0.009  0.009  0.020
Cu  0.555  0.555  0.336

---

Model B:
First-principles (GGA-PBE) data for a relaxed structure of Cu5Ag4, as listed in OQMD via LeMat-Bulk.

Output
Calculated density in Mg/m³: 9.442
V in Å³ per cell: 132

a b c (Å): 7.148 7.148 7.920
angles (deg): 121.78 121.78 22.71
Atoms (fractional coordinates):
Cu  0.455  0.455  0.192
Cu  0.336  0.336  0.505
Cu  0.000  0.000  0.500
Cu  0.664  0.664  0.495
Cu  0.545  0.545  0.808
Ag  0.789  0.789  0.180
Ag  0.889  0.889  0.834
Ag  0.211  0.211  0.820
Ag  0.111  0.111  0.166

---

Stability check: which of them is least stable? model B.

---

Model A:
First-principles (GGA-PBE) data for a relaxed structure of Cu5Ag4, as listed in OQMD via LeMat-Bulk.

Output
Calculated density in Mg/m³: 9.411
V in Å³ per cell: 132

a b c (Å): 7.181 7.181 8.099
angles (deg): 123.22 123.22 22.43
Atoms (fractional coordinates):
Cu  0.789  0.789  0.894
Cu  0.659  0.659  0.319
Cu  0.445  0.445  0.207
Cu  0.334  0.334  0.682
Cu  0.997  0.997  0.010
Ag  0.551  0.551  0.785
Ag  0.224  0.224  0.107
Ag  0.885  0.885  0.445
Ag  0.116  0.116  0.551

---

Model B:
First-principles (GGA-PBE) data for a relaxed structure of Cu5Ag4, as listed in OQMD via LeMat-Bulk.

Output
Calculated density in Mg/m³: 9.477
V in Å³ per cell: 131

a b c (Å): 4.737 4.737 8.175
angles (deg): 106.38 106.38 48.83
Atoms (fractional coordinates):
Cu  0.673  0.673  0.566
Cu  0.990  0.990  0.992
Cu  0.002  0.002  0.335
Cu  0.340  0.340  0.782
Cu  0.668  0.668  0.882
Ag  0.011  0.011  0.676
Ag  0.336  0.336  0.450
Ag  0.658  0.658  0.221
Ag  0.323  0.323  0.096

---

Model C:
First-principles (GGA-PBE) data for a relaxed structure of Cu5Ag4, as listed in OQMD via LeMat-Bulk.

Output
Calculated density in Mg/m³: 9.483
V in Å³ per cell: 131

a b c (Å): 7.230 7.230 6.654
angles (deg): 91.16 91.16 22.16
Atoms (fractional coordinates):
Ag  0.343  0.343  0.023
Ag  0.657  0.657  0.977
Ag  0.785  0.785  0.667
Ag  0.215  0.215  0.333
Cu  0.901  0.901  0.355
Cu  0.453  0.453  0.673
Cu  0.000  0.000  0.000
Cu  0.099  0.099  0.645
Cu  0.547  0.547  0.327

---

Stability check: which of them is least stable? model A.

---

Model A:
First-principles (GGA-PBE) data for a relaxed structure of PrErSi2, as listed in OQMD via LeMat-Bulk.

Output
Calculated density in Mg/m³: 6.630
V in Å³ per cell: 182

a b c (Å): 3.882 8.103 5.802
angles (deg): 90.00 90.00 90.00
Atoms (fractional coordinates):
Er  0.000  0.931  0.385
Er  0.500  0.069  0.885
Pr  0.000  0.428  0.114
Pr  0.500  0.572  0.614
Si  0.000  0.274  0.627
Si  0.500  0.726  0.127
Si  0.000  0.799  0.875
Si  0.500  0.201  0.375

---

Model B:
First-principles (GGA-PBE) data for a relaxed structure of PrErSi2, as listed in OQMD via LeMat-Bulk.

Output
Calculated density in Mg/m³: 6.620
V in Å³ per cell: 183

a b c (Å): 3.889 5.816 8.080
angles (deg): 90.00 90.00 90.00
Atoms (fractional coordinates):
Si  0.500  0.869  0.464
Si  0.000  0.619  0.537
Si  0.500  0.131  0.964
Si  0.000  0.381  0.037
Er  0.500  0.365  0.320
Er  0.500  0.635  0.820
Pr  0.000  0.135  0.679
Pr  0.000  0.865  0.179

---

Stability check: which of them is least stable? model B.

---

Model A:
First-principles (GGA-PBE) data for a relaxed structure of Pm2Be2O5, as listed in OQMD via LeMat-Bulk.

Output
Calculated density in Mg/m³: 6.992
V in Å³ per cell: 92

a b c (Å): 6.914 3.651 3.651
angles (deg): 90.00 90.00 90.00
Atoms (fractional coordinates):
Be  0.272  0.500  0.500
Be  0.728  0.500  0.500
O  0.500  0.500  0.500
O  0.774  0.000  0.500
O  0.226  0.500  0.000
O  0.226  0.000  0.500
O  0.774  0.500  0.000
Pm  0.500  0.000  0.000
Pm  0.000  0.000  0.000

---

Model B:
First-principles (GGA-PBE) data for a relaxed structure of Pm2Be2O5, as listed in OQMD via LeMat-Bulk.

Output
Calculated density in Mg/m³: 4.882
V in Å³ per cell: 132

a b c (Å): 8.982 3.833 3.833
angles (deg): 90.00 90.00 90.00
Atoms (fractional coordinates):
Pm  0.759  0.500  0.500
Pm  0.241  0.500  0.500
O  0.878  0.000  0.500
O  0.122  0.000  0.500
O  0.878  0.500  0.000
O  0.122  0.500  0.000
O  0.500  0.500  0.500
Be  0.500  0.000  0.000
Be  0.000  0.000  0.000

---

Stability check: which of them is least stable? model B.

---

Model A:
First-principles (GGA-PBE) data for a relaxed structure of AlPOsO, as listed in OQMD via LeMat-Bulk.

Output
Calculated density in Mg/m³: 8.116
V in Å³ per cell: 108

a b c (Å): 3.463 5.690 5.486
angles (deg): 90.00 90.00 90.00
Atoms (fractional coordinates):
Os  0.500  0.528  0.578
Os  0.500  0.472  0.078
O  0.500  0.793  0.850
O  0.500  0.207  0.350
Al  0.000  0.138  0.447
Al  0.000  0.862  0.947
P  0.000  0.283  0.879
P  0.000  0.717  0.379

---

Model B:
First-principles (GGA-PBE) data for a relaxed structure of AlPOsO, as listed in OQMD via LeMat-Bulk.

Output
Calculated density in Mg/m³: 8.828
V in Å³ per cell: 99

a b c (Å): 3.586 3.586 7.727
angles (deg): 90.00 90.00 90.00
Atoms (fractional coordinates):
Os  0.500  0.500  0.832
Os  0.000  0.000  0.168
O  0.500  0.000  0.000
O  0.000  0.500  0.000
P  0.000  0.000  0.724
P  0.500  0.500  0.276
Al  0.500  0.000  0.500
Al  0.000  0.500  0.500

---

Stability check: which of them is least stable? model B.